Computed, not measured: a geometry-optimized Nb3TcGe structure at the PBE-GGA level of DFT.

Computed properties:
calculated formation energy = 1.004 eV/atom
excess energy over the best structure of this formula in the dataset = 0 meV/atom

Cell and atoms, written as CIF:
```
data_Nb3TcGe
_chemical_formula_sum 'Nb3 Tc1 Ge1'
_symmetry_space_group_name_H-M 'P 1'
_symmetry_Int_Tables_number 1
_cell_length_a 4.8000
_cell_length_b 4.8000
_cell_length_c 4.8000
_cell_angle_alpha 90.00
_cell_angle_beta 90.00
_cell_angle_gamma 90.00
loop_
_symmetry_equiv_pos_as_xyz
'x,y,z'
loop_
_atom_site_label
_atom_site_fract_x
_atom_site_fract_y
_atom_site_fract_z
Nb1 0.0000 0.0000 0.5000
Nb2 0.0000 0.5000 0.0000
Nb3 0.5000 0.0000 0.0000
Tc1 0.0000 0.0000 0.0000
Ge1 0.5000 0.5000 0.5000
```

=====

Computed, not measured: a geometry-optimized BaLiZnPt2 structure at the PBE-GGA level of DFT.

Computed properties:
calculated formation energy = -0.641 eV/atom

Cell and atoms, written as CIF:
```
data_BaLiZnPt2
_chemical_formula_sum 'Ba2 Li2 Zn2 Pt4'
_symmetry_space_group_name_H-M 'P 1'
_symmetry_Int_Tables_number 1
_cell_length_a 4.3724
_cell_length_b 4.3724
_cell_length_c 11.1325
_cell_angle_alpha 90.00
_cell_angle_beta 90.00
_cell_angle_gamma 90.00
loop_
_symmetry_equiv_pos_as_xyz
'x,y,z'
loop_
_atom_site_label
_atom_site_fract_x
_atom_site_fract_y
_atom_site_fract_z
Ba1 0.0000 0.0000 0.0000
Ba2 0.5000 0.5000 0.5000
Li1 0.0000 0.5000 0.2500
Li2 0.5000 0.0000 0.7500
Zn1 0.0000 0.5000 0.7500
Zn2 0.5000 0.0000 0.2500
Pt1 0.0000 0.0000 0.3799
Pt2 0.0000 0.0000 0.6201
Pt3 0.5000 0.5000 0.1201
Pt4 0.5000 0.5000 0.8799
```

=====

Computed, not measured: a geometry-optimized Er4SbS2 structure at the PBE-GGA level of DFT.

Computed properties:
raw formation energy = -1.44 eV/atom

Cell and atoms, written as CIF:
```
data_Er4SbS2
_chemical_formula_sum 'Er8 Sb2 S4'
_symmetry_space_group_name_H-M 'P 1'
_symmetry_Int_Tables_number 1
_cell_length_a 6.6996
_cell_length_b 6.6996
_cell_length_c 13.1010
_cell_angle_alpha 90.00
_cell_angle_beta 90.00
_cell_angle_gamma 145.19
loop_
_symmetry_equiv_pos_as_xyz
'x,y,z'
loop_
_atom_site_label
_atom_site_fract_x
_atom_site_fract_y
_atom_site_fract_z
Er1 0.0000 0.0000 0.0000
Er2 0.0000 0.0000 0.5000
Er3 0.2637 0.7363 0.6167
Er4 0.2637 0.7363 0.8833
Er5 0.4320 0.5680 0.2500
Er6 0.5680 0.4320 0.7500
Er7 0.7363 0.2637 0.1167
Er8 0.7363 0.2637 0.3833
Sb1 0.1090 0.8910 0.2500
Sb2 0.8910 0.1090 0.7500
S1 0.3675 0.6325 0.0583
S2 0.3675 0.6325 0.4417
S3 0.6325 0.3675 0.5583
S4 0.6325 0.3675 0.9417
```

=====

Computed, not measured: a geometry-optimized Sr2Hg13 structure at the PBE-GGA level of DFT.

Computed properties:
calculated formation energy = -0.177 eV/atom

Cell and atoms, written as CIF:
```
data_Sr2Hg13
_chemical_formula_sum 'Sr2 Hg13'
_symmetry_space_group_name_H-M 'P 1'
_symmetry_Int_Tables_number 1
_cell_length_a 8.7116
_cell_length_b 8.7116
_cell_length_c 8.7116
_cell_angle_alpha 57.71
_cell_angle_beta 57.71
_cell_angle_gamma 57.71
loop_
_symmetry_equiv_pos_as_xyz
'x,y,z'
loop_
_atom_site_label
_atom_site_fract_x
_atom_site_fract_y
_atom_site_fract_z
Sr1 0.1528 0.1528 0.1528
Sr2 0.8472 0.8472 0.8472
Hg1 0.0000 0.0000 0.0000
Hg2 0.1533 0.1533 0.5364
Hg3 0.1533 0.5364 0.1533
Hg4 0.3090 0.3090 0.6714
Hg5 0.3090 0.6714 0.3090
Hg6 0.3286 0.6910 0.6910
Hg7 0.4636 0.8467 0.8467
Hg8 0.5364 0.1533 0.1533
Hg9 0.6714 0.3090 0.3090
Hg10 0.6910 0.3286 0.6910
Hg11 0.6910 0.6910 0.3286
Hg12 0.8467 0.4636 0.8467
Hg13 0.8467 0.8467 0.4636
```